DFT (GGA+U) results for an optimized crystal structure of VGeBF2.

Values from the calculation:
For the total energy, the calculation gives -5.056 eV per atom.

a = 3.851 Å, b = 4.825 Å, c = 3.851 Å
α = 90.00°, β = 90.00°, γ = 90.00°
Last column: magnetic moment on the atom in μB.
Sites, in units of the cell vectors:
F: 0.000 0.000 0.500  0.01
B: 0.000 0.500 0.000  0.06
Ge: 0.500 0.500 0.500  0.05
F: 0.500 0.000 0.000  -0.02
V: 0.000 0.000 0.000  -2.02



DFT (GGA+U) results for an optimized crystal structure of GeBW2F.

Values from the calculation:
For the total energy, the calculation gives -4.957 eV per atom. The value obtained for the relative energy among the computed polymorphs is 0.000 eV per atom.

a = 4.527 Å, b = 3.644 Å, c = 4.527 Å
α = 90.00°, β = 90.00°, γ = 90.00°
Last column: magnetic moment on the atom in μB.
Sites, in units of the cell vectors:
F: 0.000 0.500 0.000  0.14
B: 0.000 0.000 0.000  -0.06
W: 0.000 0.000 0.500  1.94
Ge: 0.500 0.500 0.500  -0.12
W: 0.500 0.000 0.000  1.73



DFT (GGA+U) results for an optimized crystal structure of GeBW2F.

Values from the calculation:
For the total energy, the calculation gives -4.611 eV per atom. The value obtained for the relative energy among the computed polymorphs is 0.347 eV per atom.

a = 4.467 Å, b = 4.100 Å, c = 4.467 Å
α = 90.00°, β = 90.00°, γ = 90.00°
Last column: magnetic moment on the atom in μB.
Sites, in units of the cell vectors:
W: 0.500 0.000 0.000  1.97
F: 0.500 0.500 0.500  0.03
W: 0.000 0.000 0.500  2.19
B: 0.000 0.000 0.000  -0.12
Ge: 0.000 0.500 0.000  -0.18



Please write out number 3 again, unchanged.
DFT (GGA+U) results for an optimized crystal structure of GeBW2F.

Values from the calculation:
For the total energy, the calculation gives -4.611 eV per atom. The value obtained for the relative energy among the computed polymorphs is 0.347 eV per atom.

a = 4.467 Å, b = 4.100 Å, c = 4.467 Å
α = 90.00°, β = 90.00°, γ = 90.00°
Last column: magnetic moment on the atom in μB.
Sites, in units of the cell vectors:
W: 0.500 0.000 0.000  1.97
F: 0.500 0.500 0.500  0.03
W: 0.000 0.000 0.500  2.19
B: 0.000 0.000 0.000  -0.12
Ge: 0.000 0.500 0.000  -0.18